Entry 1:
MgCuTcSnOsC | Alexandria via LeMat-Bulk | GGA-PBE | optimized geometry; energy relative to the lowest polymorph listed for this composition = 0.050 eV/atom; E_tot = -6.476 eV/atom; energy relative to the elements = 1.654 eV/f.u.; symmetry = Cm, No. 8; Fermi-level density of states = 3.135 states/eV/cell
1.0
4.848 -2.125 0.000
4.848 2.125 0.000
-2.690 0.000 4.643
Mg Cu Tc Sn Os C
1 1 1 1 1 1
Direct
0.000 0.000 0.000
0.693 0.693 0.050
0.668 0.668 0.518
0.361 0.361 0.439
0.264 0.264 0.839
0.482 0.482 0.136

---

Entry 2:
Cs3SrTb2Te6 | Alexandria via LeMat-Bulk | GGA-PBE | optimized geometry; E_tot = -4.009 eV/atom; symmetry = C2/m, No. 12; Fermi-level density of states = 9.490 states/eV/cell; formation energy from raw total energies = -1312 meV/atom
1.0
4.025 -6.974 0.000
4.025 6.974 0.000
-2.691 0.000 8.989
Cs Sr Tb Te
3 1 2 6
Direct
0.000 0.000 0.000
0.339 0.661 0.000
0.661 0.339 0.000
0.500 0.500 0.500
0.167 0.833 0.500
0.833 0.167 0.500
0.081 0.435 0.305
0.211 0.211 0.692
0.435 0.081 0.305
0.565 0.919 0.695
0.789 0.789 0.308
0.919 0.565 0.695

---

Entry 3:
LiPaCu2 | Alexandria via LeMat-Bulk | GGA-PBE | optimized geometry; energy relative to the lowest polymorph listed for this composition = 0.122 eV/atom; E_tot = -4.716 eV/atom; energy relative to the elements = 0.738 eV/f.u.; symmetry = Fm-3m, No. 225; Fermi-level density of states = 5.788 states/eV/cell
1.0
0.000 3.276 3.276
3.276 0.000 3.276
3.276 3.276 0.000
Li Pa Cu
1 1 2
Direct
0.000 0.000 0.000
0.500 0.500 0.500
0.250 0.250 0.250
0.750 0.750 0.750

---

Entry 4:
CaSeBrF | Alexandria via LeMat-Bulk | GGA-PBE | optimized geometry; energy relative to the lowest polymorph listed for this composition = 0.003 eV/atom; E_tot = -4.065 eV/atom; symmetry = P1, No. 1; Fermi-level density of states = 0.000 states/eV/cell; formation energy from raw total energies = -1807 meV/atom
1.0
4.399 0.000 0.000
1.091 4.792 0.000
1.076 1.260 4.638
Ca Se Br F
1 1 1 1
Direct
0.000 0.000 0.000
0.849 0.644 0.643
0.231 0.354 0.354
0.522 0.954 0.954

---

Entry 5:
AlSiSb2I | Alexandria via LeMat-Bulk | GGA-PBE | optimized geometry; energy relative to the lowest polymorph listed for this composition = 0.000 eV/atom; E_tot = -3.136 eV/atom; symmetry = P4/mmm, No. 123; Fermi-level density of states = 5.410 states/eV/cell; formation energy from raw total energies = 656 meV/atom
1.0
5.281 0.000 0.000
0.000 5.281 0.000
0.000 0.000 5.547
Al Si Sb I
1 1 2 1
Direct
0.000 0.000 0.000
0.500 0.500 0.500
0.000 0.500 0.500
0.500 0.000 0.500
0.500 0.500 0.000

---

Entry 6:
Sc2IrWN | Alexandria via LeMat-Bulk | GGA-PBE | optimized geometry; energy relative to the lowest polymorph listed for this composition = 0.000 eV/atom; E_tot = -7.224 eV/atom; symmetry = P4/mmm, No. 123; Fermi-level density of states = 4.078 states/eV/cell; formation energy from raw total energies = 1336 meV/atom
1.0
5.014 0.000 0.000
0.000 5.014 0.000
0.000 0.000 4.709
Sc Ir W N
2 1 1 1
Direct
0.000 0.500 0.000
0.500 0.000 0.000
0.000 0.000 0.000
0.000 0.000 0.500
0.500 0.500 0.500